Computed, not measured: Nd2AgMoO6 after structural relaxation at the PBE with a Hubbard U level of DFT.

Lattice parameters (Å, degrees): 5.396 5.396 5.451 90.00 90.00 90.00
Space group P4mm (No. 99)
Symmetry-distinct sites (fractional):
Nd 0.000 0.500 0.000 [2 per cell]
Ag 0.000 0.000 0.504 [1 per cell]
Mo 0.500 0.500 0.599 [1 per cell]
O 0.000 0.000 0.116 [1 per cell]
O 0.268 0.268 0.753 [4 per cell]
O 0.500 0.500 0.255 [1 per cell]

Calculated values
DOS at the Fermi energy = 0.00 states/eV per cell
DFT total energy = -7.04 eV per atom